DFT (PBE) results for crystalline YAs2SeBr at its relaxed geometry.

Values from the calculation:
The uncorrected formation energy is 0.3363 eV/atom. The value obtained for the size of the total moment is 0.0 μB per cell. The space-group type is P4/mmm, No. 123. Its distance to the lowest polymorph of the same formula is 0.246 eV/atom.

a = 5.038 Å, b = 5.038 Å, c = 5.168 Å
α = 90.00°, β = 90.00°, γ = 90.00°
Sites, in units of the cell vectors:
Y  0.000  0.000  0.000
As  0.000  0.500  0.500
As  0.500  0.000  0.500
Se  0.500  0.500  0.000
Br  0.500  0.500  0.500